Be2CdOs | GGA-PBE | optimized geometry

Properties
As for the raw total energy: -17.8 eV per formula unit. For the density of states at the Fermi level, the calculation gives 0.67 states/eV per atom. The calculation puts the density at 10.08 Mg/m³. As for the space group: No. 10.

abc: 2.823 4.840 4.959
angles: 51.20 90.00 90.00
Fractional coordinates of all 4 atoms:
Os  0.000  0.000  0.500
Be  0.500  0.500  0.000
Be  0.000  0.000  0.000
Cd  0.500  0.500  0.500